# TmGa2Ag2

TmGa2Ag2 after structural relaxation (PBE-GGA, Alexandria via LeMat-Bulk).

## Properties
E = -3.47 eV per atom
M_tot = 0.0 μB per cell
Volume = 100.51 Å³/f.u.
Formation enthalpy at 0 K = -0.225 eV per atom
Fermi-level density of states = 0.483 states/eV per atom

The structure in POSCAR format:
```
TmGa2Ag2
1.0
2.8545 -2.8565 0.0000
2.8545 2.8565 0.0000
0.0000 0.0000 12.3271
Tm Ga Ag
2 4 4
direct
0.2494 0.7506 0.7500
0.7506 0.2494 0.2500
0.2497 0.2497 0.0000
0.2497 0.2497 0.5000
0.7503 0.7503 0.0000
0.7503 0.7503 0.5000
0.2506 0.7494 0.1420
0.2506 0.7494 0.3580
0.7494 0.2506 0.6420
0.7494 0.2506 0.8580
```

---

# NbCuBi2F

NbCuBi2F after structural relaxation (PBE-GGA, Alexandria via LeMat-Bulk).

## Properties
ΔE_f (raw) = 79 meV/atom
E = -4.68 eV per atom
M_tot = 0.7 μB per cell
Volume = 102.45 Å³/f.u.
Fermi-level density of states = 0.774 states/eV per atom

The structure in POSCAR format:
```
NbCuBi2F
1.0
5.1275 0.0000 0.0000
0.0000 5.1275 0.0000
0.0000 0.0000 3.8967
Nb Cu Bi F
1 1 2 1
direct
0.0000 0.0000 0.0000
0.5000 0.5000 0.0000
0.0000 0.5000 0.5000
0.5000 0.0000 0.5000
0.5000 0.5000 0.5000
```

---

# CuHg3S4

CuHg3S4 after structural relaxation (PBE-GGA, Alexandria via LeMat-Bulk).

## Properties
ΔE_f (raw) = -110 meV/atom
E = -2.80 eV per atom
M_tot = 0.0 μB per cell
Volume = 194.48 Å³/f.u.
Fermi-level density of states = 0.572 states/eV per atom

The structure in POSCAR format:
```
CuHg3S4
1.0
8.1538 0.0000 0.0000
0.0000 7.0691 0.0000
0.0000 0.0000 6.7483
Cu Hg S
2 6 8
direct
0.0000 0.1699 0.0000
0.5000 0.8301 0.5000
0.0000 0.8400 0.4967
0.2502 0.3300 0.4937
0.2498 0.6700 0.9937
0.5000 0.1600 0.9967
0.7498 0.3300 0.4937
0.7502 0.6700 0.9937
0.0000 0.1721 0.6605
0.0000 0.8661 0.1136
0.2296 0.3215 0.1118
0.2704 0.6785 0.6118
0.5000 0.1339 0.6136
0.5000 0.8279 0.1605
0.7296 0.6785 0.6118
0.7704 0.3215 0.1118
```

---

Q: The highest Fermi-level density of states belongs to which entry?
A: NbCuBi2F

---

What did the second record say?
# NbCuBi2F

NbCuBi2F after structural relaxation (PBE-GGA, Alexandria via LeMat-Bulk).

## Properties
ΔE_f (raw) = 79 meV/atom
E = -4.68 eV per atom
M_tot = 0.7 μB per cell
Volume = 102.45 Å³/f.u.
Fermi-level density of states = 0.774 states/eV per atom

The structure in POSCAR format:
```
NbCuBi2F
1.0
5.1275 0.0000 0.0000
0.0000 5.1275 0.0000
0.0000 0.0000 3.8967
Nb Cu Bi F
1 1 2 1
direct
0.0000 0.0000 0.0000
0.5000 0.5000 0.0000
0.0000 0.5000 0.5000
0.5000 0.0000 0.5000
0.5000 0.5000 0.5000
```